Density functional theory data (GGA-PBE) for a relaxed structure of Nd6Dy2Tm5.

Summary:
SG = Pbam (55)
formation energy from the elements = 0.1051 eV/atom
calculated volume = 33.248 Å³/atom

Cell lengths 3.6155, 11.6880, 20.4564 Å; angles 90.00, 90.00, 90.00 degrees
Sites, in units of the cell vectors:
Tm (0.5000, 0.6989, 0.5560)
Tm (0.5000, 0.0945, 0.2256)
Tm (0.5000, 0.5000, 0.0000)
Tm (0.5000, 0.1989, 0.9440)
Tm (0.5000, 0.9055, 0.7744)
Tm (0.5000, 0.8011, 0.0560)
Tm (0.5000, 0.4055, 0.7256)
Tm (0.5000, 0.0000, 0.5000)
Tm (0.5000, 0.5945, 0.2744)
Tm (0.5000, 0.3011, 0.4440)
Dy (0.0000, 0.6645, 0.7113)
Dy (0.0000, 0.3355, 0.2887)
Dy (0.0000, 0.8355, 0.2113)
Dy (0.0000, 0.1645, 0.7887)
Nd (0.0000, 0.9409, 0.9204)
Nd (0.0000, 0.9170, 0.6335)
Nd (0.5000, 0.3269, 0.1326)
Nd (0.0000, 0.0830, 0.3665)
Nd (0.5000, 0.6731, 0.8674)
Nd (0.0000, 0.0591, 0.0796)
Nd (0.0000, 0.5591, 0.4204)
Nd (0.5000, 0.8269, 0.3674)
Nd (0.5000, 0.1731, 0.6326)
Nd (0.0000, 0.4170, 0.8665)
Nd (0.0000, 0.4409, 0.5796)
Nd (0.0000, 0.5830, 0.1335)



Density functional theory data (GGA-PBE) for a relaxed structure of NdDy5Tm2.

Summary:
SG = Pbam (55)
formation energy from the elements = 0.0188 eV/atom
distance to the lowest polymorph of the same formula = 9 meV/atom
calculated volume = 31.474 Å³/atom

Cell lengths 5.0006, 7.0953, 14.1931 Å; angles 90.00, 90.00, 90.00 degrees
Sites, in units of the cell vectors:
Dy (0.0000, 0.0000, 0.0000)
Dy (0.5000, 0.7516, 0.1260)
Dy (0.0000, 0.9987, 0.7510)
Dy (0.0000, 0.5000, 0.5000)
Dy (0.0000, 0.4987, 0.7490)
Dy (0.0000, 0.0013, 0.2490)
Dy (0.0000, 0.5013, 0.2510)
Dy (0.5000, 0.2516, 0.3740)
Dy (0.5000, 0.2484, 0.8740)
Dy (0.5000, 0.7484, 0.6260)
Tm (0.5000, 0.2502, 0.1258)
Tm (0.5000, 0.7502, 0.3742)
Tm (0.5000, 0.2498, 0.6258)
Tm (0.5000, 0.7498, 0.8742)
Nd (0.0000, 0.0000, 0.5000)
Nd (0.0000, 0.5000, 0.0000)



Density functional theory data (GGA-PBE) for a relaxed structure of Nd4Dy8Tm3.

Summary:
SG = C2/m (12)
formation energy from the elements = 0.3677 eV/atom
calculated volume = 33.530 Å³/atom

Cell lengths 6.7512, 9.2969, 9.2969 Å; angles 87.25, 111.46, 111.46 degrees
Sites, in units of the cell vectors:
Dy (0.5190, 0.2670, 0.2670)
Dy (0.0000, 0.3619, 0.6381)
Dy (0.5000, 0.2555, 0.7445)
Dy (0.5000, 0.7445, 0.2555)
Dy (0.4810, 0.7330, 0.7330)
Dy (0.0028, 0.2719, 0.2719)
Dy (0.9972, 0.7281, 0.7281)
Dy (0.0000, 0.6381, 0.3619)
Tm (0.5000, 0.0000, 0.5000)
Tm (0.5000, 0.5000, 0.5000)
Tm (0.5000, 0.5000, 0.0000)
Nd (0.0000, 0.5000, 0.0000)
Nd (0.0000, 0.0000, 0.0000)
Nd (0.5000, 0.0000, 0.0000)
Nd (0.0000, 0.0000, 0.5000)



Density functional theory data (GGA-PBE) for a relaxed structure of Nd2Dy3Tm7.

Summary:
SG = Cmmm (65)
formation energy from the elements = 0.1151 eV/atom
distance to the lowest polymorph of the same formula = 28 meV/atom
calculated volume = 31.618 Å³/atom

Cell lengths 3.5912, 5.6317, 18.9704 Å; angles 98.54, 90.00, 90.00 degrees
Sites, in units of the cell vectors:
Tm (0.0000, 0.2304, 0.4608)
Tm (0.5000, 0.9296, 0.8592)
Tm (0.0000, 0.0000, 0.0000)
Tm (0.0000, 0.4114, 0.8227)
Tm (0.0000, 0.7696, 0.5392)
Tm (0.5000, 0.0704, 0.1408)
Tm (0.0000, 0.5886, 0.1773)
Dy (0.5000, 0.3137, 0.6275)
Dy (0.5000, 0.6863, 0.3725)
Dy (0.5000, 0.5000, 0.0000)
Nd (0.0000, 0.1466, 0.2933)
Nd (0.0000, 0.8534, 0.7067)



| no. | magnetization (μB/atom) |
| --- | --- |
| 1 | 0.000 |
| 2 | 0.000 |
| 3 | 0.000 |
| 4 | 0.000 |